(1)
Here is a geometry-optimized Pm3AgO6 structure from Alexandria via LeMat-Bulk. Energies are from PBE.

Cell: 7.373 7.373 5.730 Å, 90.00 90.00 102.29°
Fractional positions:
Pm 0.103 0.897 0.500
Pm 0.183 0.411 0.555
Pm 0.411 0.183 0.055
Pm 0.589 0.817 0.555
Pm 0.817 0.589 0.055
Pm 0.897 0.103 0.000
Ag 0.357 0.643 0.054
Ag 0.643 0.357 0.554
O 0.090 0.604 0.265
O 0.145 0.174 0.280
O 0.174 0.145 0.780
O 0.279 0.721 0.725
O 0.396 0.910 0.265
O 0.483 0.517 0.336
O 0.517 0.483 0.836
O 0.604 0.090 0.765
O 0.721 0.279 0.225
O 0.826 0.855 0.280
O 0.855 0.826 0.780
O 0.910 0.396 0.765

Computed properties:
Volume (Å³/cell): 304.3
Raw total energy (eV per cell): -143.74
Total magnetization (μB/f.u.): 0.82
Fermi-level density of states (states/eV/cell): 10.1
Raw formation energy (eV/f.u.): -25.0
Space group: Cmc2_1 (36)

---

(2)
Here is a geometry-optimized LiCa2ErO4 structure from Alexandria via LeMat-Bulk. Energies are from PBE.

Cell: 5.684 3.380 5.759 Å, 90.00 108.13 90.00°
Fractional positions:
Li 0.000 0.000 0.000
Ca 0.000 0.500 0.500
Ca 0.500 0.000 0.500
Er 0.500 0.500 0.000
O 0.261 0.000 0.767
O 0.264 0.500 0.251
O 0.736 0.500 0.749
O 0.739 0.000 0.233

Computed properties:
Volume (Å³/cell): 105.1
Raw total energy (eV per cell): -53.50
Total magnetization (μB/f.u.): 0.00
Fermi-level density of states (states/eV/cell): 0.0
Raw formation energy (eV/f.u.): -23.2
Space group: P2/m (10)

---

(3)
Here is a geometry-optimized PmErBePd structure from Alexandria via LeMat-Bulk. Energies are from PBE.

Cell: 4.963 4.963 4.963 Å, 60.00 60.00 60.00°
Fractional positions:
Pm 0.000 0.000 0.000
Er 0.500 0.500 0.500
Be 0.750 0.750 0.750
Pd 0.250 0.250 0.250

Computed properties:
Volume (Å³/cell): 86.4
Raw total energy (eV per cell): -19.48
Total magnetization (μB/f.u.): 0.00
Energy of formation from the pure elements (eV per formula unit): -1.2
Fermi-level density of states (states/eV/cell): 2.6
Space group: F-43m (216)

---

(4)
Here is a geometry-optimized LiMnHg2 structure from Alexandria via LeMat-Bulk. Energies are from PBE.

Cell: 5.244 5.244 5.244 Å, 133.54 133.54 67.80°
Fractional positions:
Li 0.000 0.000 0.000
Mn 0.250 0.750 0.500
Hg 0.500 0.500 0.000
Hg 0.750 0.250 0.500

Computed properties:
Volume (Å³/cell): 74.5
Raw total energy (eV per cell): -11.37
Total magnetization (μB/f.u.): 4.06
Energy of formation from the pure elements (eV per formula unit): 0.3
Fermi-level density of states (states/eV/cell): 2.4
Space group: I-4m2 (119)

---

(5)
Here is a geometry-optimized YCu2 structure from Alexandria via LeMat-Bulk. Energies are from PBE.

Cell: 8.104 8.104 8.104 Å, 152.43 152.43 39.38°
Fractional positions:
Y 0.375 0.625 0.750
Y 0.625 0.375 0.250
Cu 0.045 0.795 0.250
Cu 0.205 0.955 0.250
Cu 0.795 0.045 0.750
Cu 0.955 0.205 0.750

Computed properties:
Volume (Å³/cell): 113.8
Raw total energy (eV per cell): -30.69
Total magnetization (μB/f.u.): 0.00
Energy of formation from the pure elements (eV per formula unit): -0.7
Fermi-level density of states (states/eV/cell): 3.2
Space group: I4_1/amd (141)

---

(6)
Here is a geometry-optimized Ba2ZrP structure from Alexandria via LeMat-Bulk. Energies are from PBE.

Cell: 4.617 4.617 9.412 Å, 103.21 103.21 54.74°
Fractional positions:
Ba 0.000 0.000 0.000
Ba 0.167 0.167 0.558
Zr 0.775 0.775 0.279
P 0.457 0.457 0.279

Computed properties:
Volume (Å³/cell): 158.3
Raw total energy (eV per cell): -19.28
Total magnetization (μB/f.u.): 0.64
Energy of formation from the pure elements (eV per formula unit): -1.5
Fermi-level density of states (states/eV/cell): 4.1
Space group: Cm (8)

---

(7)
Here is a geometry-optimized NiAgCl2 structure from Alexandria via LeMat-Bulk. Energies are from PBE.

Cell: 7.599 7.599 7.599 Å, 28.05 28.05 28.05°
Fractional positions:
Ni 0.000 0.000 0.000
Ag 0.255 0.255 0.255
Cl 0.523 0.523 0.523
Cl 0.704 0.704 0.704

Computed properties:
Volume (Å³/cell): 85.7
Raw total energy (eV per cell): -13.24
E above lowest polymorph (kcal/mol of atoms): 1.384
Total magnetization (μB/f.u.): 1.01
Fermi-level density of states (states/eV/cell): 1.3
Raw formation energy (eV/f.u.): -0.9
Space group: R3m (160)

---

(8)
Here is a geometry-optimized PmY4TlS8 structure from Alexandria via LeMat-Bulk. Energies are from PBE.

Cell: 8.312 8.312 8.312 Å, 59.21 59.21 59.21°
Fractional positions:
Pm 0.000 0.000 0.000
Y 0.000 0.000 0.484
Y 0.000 0.484 0.000
Y 0.484 0.000 0.000
Y 0.622 0.622 0.622
Tl 0.369 0.369 0.369
S 0.225 0.750 0.750
S 0.228 0.228 0.228
S 0.234 0.234 0.793
S 0.234 0.793 0.234
S 0.750 0.225 0.750
S 0.750 0.750 0.225
S 0.753 0.753 0.753
S 0.793 0.234 0.234

Computed properties:
Volume (Å³/cell): 398.8
Raw total energy (eV per cell): -91.41
Total magnetization (μB/f.u.): 0.00
Raw formation energy (eV/f.u.): -25.4
Space group: R3m (160)

---

(9)
Here is a geometry-optimized CeSm2DySe5 structure from Alexandria via LeMat-Bulk. Energies are from PBE.

Cell: 5.160 5.160 11.053 Å, 90.00 90.00 90.00°
Fractional positions:
Ce 0.000 0.000 0.000
Sm 0.500 0.500 0.340
Sm 0.500 0.500 0.660
Dy 0.000 0.000 0.500
Se 0.000 0.000 0.252
Se 0.000 0.000 0.748
Se 0.000 0.500 0.500
Se 0.500 0.000 0.500
Se 0.500 0.500 0.000

Computed properties:
Volume (Å³/cell): 294.3
Raw total energy (eV per cell): -48.41
Total magnetization (μB/f.u.): 1.32
Fermi-level density of states (states/eV/cell): 13.1
Raw formation energy (eV/f.u.): -11.0
Space group: P4/mmm (123)

---

(10)
Here is a geometry-optimized PmAgSn2Se4 structure from Alexandria via LeMat-Bulk. Energies are from PBE.

Cell: 7.173 4.232 7.508 Å, 90.00 109.61 90.00°
Fractional positions:
Pm 0.000 0.000 0.000
Ag 0.500 0.500 0.000
Sn 0.000 0.500 0.500
Sn 0.500 0.000 0.500
Se 0.244 0.500 0.243
Se 0.255 0.000 0.761
Se 0.745 0.000 0.239
Se 0.756 0.500 0.757

Computed properties:
Volume (Å³/cell): 214.7
Raw total energy (eV per cell): -35.66
Total magnetization (μB/f.u.): 0.00
Fermi-level density of states (states/eV/cell): 0.0
Raw formation energy (eV/f.u.): -6.1
Space group: P2/m (10)

---

(11)
Here is a geometry-optimized NdCdSn4 structure from Alexandria via LeMat-Bulk. Energies are from PBE.

Cell: 6.198 6.198 6.198 Å, 60.00 60.00 60.00°
Fractional positions:
Nd 0.000 0.000 0.000
Cd 0.750 0.750 0.750
Sn 0.375 0.375 0.375
Sn 0.375 0.375 0.875
Sn 0.375 0.875 0.375
Sn 0.875 0.375 0.375

Computed properties:
Volume (Å³/cell): 168.4
Raw total energy (eV per cell): -22.85
Total magnetization (μB/f.u.): 0.00
Energy of formation from the pure elements (eV per formula unit): -1.2
Fermi-level density of states (states/eV/cell): 2.4
Space group: F-43m (216)

---

(12)
Here is a geometry-optimized Tb5HoTl structure from Alexandria via LeMat-Bulk. Energies are from PBE.

Cell: 4.699 4.699 10.455 Å, 90.00 90.00 90.00°
Fractional positions:
Tb 0.000 0.000 0.000
Tb 0.000 0.500 0.242
Tb 0.000 0.500 0.758
Tb 0.500 0.000 0.242
Tb 0.500 0.000 0.758
Ho 0.500 0.500 0.500
Tl 0.500 0.500 0.000

Computed properties:
Volume (Å³/cell): 230.8
Raw total energy (eV per cell): -28.74
Total magnetization (μB/f.u.): 0.00
Energy of formation from the pure elements (eV per formula unit): 1.4
Fermi-level density of states (states/eV/cell): 10.6
Space group: P4/mmm (123)